## NaSrZr2Ga (PBE)

Data for an optimized crystal structure of NaSrZr2Ga.

Unit cell a=5.213 b=5.059 c=5.213 alpha=90.00 beta=90.00 gamma=90.00
Site moments in Bohr magnetons follow the coordinates.
Atoms (fractional coordinates):
1 Zr 0.000 0.000 0.500  0.04
2 Zr 0.500 0.000 0.000  0.06
3 Na 0.000 0.000 0.000  0.00
4 Sr 0.500 0.500 0.500  0.01
5 Ga 0.000 0.500 0.000  0.00

Calculated values
The density of states at the Fermi level is 6.73 states/eV/f.u. Its symmetry is P4/mmm. For the size of the total moment, the calculation gives 0.176 μB/f.u. The volume comes out at 138 Å³/f.u. The calculation puts the energy relative to the elements at 1.01 eV/atom.


## HfScNiAu (PBE)

Data for an optimized crystal structure of HfScNiAu.

Unit cell a=4.674 b=4.674 c=4.674 alpha=60.00 beta=60.00 gamma=60.00
Atoms (fractional coordinates):
1 Hf 0.000 0.000 0.000
2 Au 0.250 0.250 0.250
3 Sc 0.500 0.500 0.500
4 Ni 0.750 0.750 0.750

Calculated values
The density of states at the Fermi level is 3.06 states/eV/f.u. Its symmetry is F-43m. For the size of the total moment, the calculation gives 0.000 μB/f.u. The volume comes out at 72 Å³/f.u. The calculation puts the energy relative to the elements at -0.48 eV/atom.


## CsKHg2Au (PBE)

Data for an optimized crystal structure of CsKHg2Au.

Unit cell a=5.609 b=5.609 c=6.128 alpha=90.00 beta=90.00 gamma=90.00
Atoms (fractional coordinates):
1 Hg 0.500 0.000 0.000
2 Hg 0.000 0.500 0.000
3 K 0.000 0.000 0.500
4 Cs 0.500 0.500 0.500
5 Au 0.000 0.000 0.000

Calculated values
The density of states at the Fermi level is 3.00 states/eV/f.u. Its symmetry is P4/mmm. For the size of the total moment, the calculation gives 0.000 μB/f.u. The calculation puts the energy above the most stable polymorph in this dataset at 0.54 eV/f.u. The volume comes out at 193 Å³/f.u. The calculation puts the energy relative to the elements at -0.16 eV/atom.